(a)
SbPIN2 | PBE | relaxed

Lattice parameters (Å, degrees): 4.046 4.046 7.395 90.00 90.00 90.00
Space group P4/mmm (No. 123)
Unique sites:
Sb  0.000  0.000  0.000
P  0.500  0.500  0.500
I  0.000  0.000  0.500
N  0.000  0.500  0.000

Output
The value obtained for the density of states at the Fermi level is 0.42 states/eV/atom. Its total magnetization is 2.2 Bohr magnetons per cell.

(b)
SbPIN2 | PBE | relaxed

Lattice parameters (Å, degrees): 3.953 3.953 5.543 90.00 90.00 90.00
Space group P4/mmm (No. 123)
Unique sites:
Sb  0.000  0.000  0.000
P  0.000  0.000  0.500
I  0.500  0.500  0.000
N  0.000  0.500  0.500

Output
The value obtained for the density of states at the Fermi level is 0.50 states/eV/atom. Its total magnetization is 1.0 Bohr magnetons per cell.

Most stable one: (b), least stable one: (a).

(a)
SbPI2N | PBE | relaxed

Lattice parameters (Å, degrees): 4.907 4.907 4.617 90.00 90.00 90.00
Space group P4/mmm (No. 123)
Unique sites:
Sb  0.000  0.000  0.000
P  0.500  0.500  0.000
I  0.000  0.500  0.500
N  0.500  0.500  0.500

Output
The value obtained for the density of states at the Fermi level is 0.87 states/eV/atom. Its total magnetization is 0.0 Bohr magnetons per cell.

(b)
SbPI2N | PBE | relaxed

Lattice parameters (Å, degrees): 6.201 6.201 3.955 90.00 90.00 90.00
Space group P4/mmm (No. 123)
Unique sites:
Sb  0.000  0.000  0.000
P  0.500  0.500  0.500
I  0.000  0.500  0.000
N  0.000  0.000  0.500

Output
The value obtained for the density of states at the Fermi level is 0.98 states/eV/atom. Its total magnetization is 2.1 Bohr magnetons per cell.

Most stable one: (b), least stable one: (a).

(a)
SbPI2N | PBE | relaxed

Lattice parameters (Å, degrees): 6.331 6.331 3.332 90.00 90.00 90.00
Space group P4/mmm (No. 123)
Unique sites:
Sb  0.000  0.000  0.000
P  0.500  0.500  0.500
I  0.000  0.500  0.500
N  0.500  0.500  0.000

Output
The value obtained for the density of states at the Fermi level is 0.69 states/eV/atom. Its total magnetization is 0.0 Bohr magnetons per cell.

(b)
SbPI2N | PBE | relaxed

Lattice parameters (Å, degrees): 4.808 4.808 5.035 90.00 90.00 90.00
Space group P4/mmm (No. 123)
Unique sites:
Sb  0.000  0.000  0.000
P  0.500  0.500  0.000
I  0.000  0.500  0.500
N  0.000  0.000  0.500

Output
The value obtained for the density of states at the Fermi level is 0.89 states/eV/atom. Its total magnetization is 0.0 Bohr magnetons per cell.

Most stable one: (a), least stable one: (b).

(a)
ScPIN2 | PBE | relaxed

Lattice parameters (Å, degrees): 3.856 3.856 5.198 90.00 90.00 90.00
Space group P4/mmm (No. 123)
Unique sites:
Sc  0.000  0.000  0.000
P  0.500  0.500  0.500
I  0.500  0.500  0.000
N  0.000  0.500  0.500

Output
The value obtained for the density of states at the Fermi level is 0.69 states/eV/atom. Its total magnetization is 0.0 Bohr magnetons per cell.

(b)
ScPIN2 | PBE | relaxed

Lattice parameters (Å, degrees): 4.108 4.108 6.390 90.00 90.00 90.00
Space group P4/mmm (No. 123)
Unique sites:
Sc  0.000  0.000  0.000
P  0.500  0.500  0.500
I  0.000  0.000  0.500
N  0.000  0.500  0.000

Output
The value obtained for the density of states at the Fermi level is 0.53 states/eV/atom. Its total magnetization is 1.9 Bohr magnetons per cell.

Most stable one: (a), least stable one: (b).

(a)
SiPIN2 | PBE | relaxed

Lattice parameters (Å, degrees): 3.588 3.588 7.751 90.00 90.00 90.00
Space group P4/mmm (No. 123)
Unique sites:
Si  0.000  0.000  0.000
P  0.500  0.500  0.500
I  0.000  0.000  0.500
N  0.000  0.500  0.000

Output
The value obtained for the density of states at the Fermi level is 0.80 states/eV/atom. Its total magnetization is 0.0 Bohr magnetons per cell.

(b)
SiPIN2 | PBE | relaxed

Lattice parameters (Å, degrees): 3.619 3.619 7.456 90.00 90.00 90.00
Space group P4/mmm (No. 123)
Unique sites:
Si  0.000  0.000  0.000
P  0.500  0.500  0.500
I  0.500  0.500  0.000
N  0.000  0.500  0.500

Output
The value obtained for the density of states at the Fermi level is 0.54 states/eV/atom. Its total magnetization is 0.6 Bohr magnetons per cell.

Most stable one: (a), least stable one: (b).

(a)
SrPIN2 | PBE | relaxed

Lattice parameters (Å, degrees): 4.161 4.161 5.442 90.00 90.00 90.00
Space group P4/mmm (No. 123)
Unique sites:
Sr  0.000  0.000  0.000
P  0.500  0.500  0.500
I  0.500  0.500  0.000
N  0.000  0.500  0.500

Output
The value obtained for the density of states at the Fermi level is 0.52 states/eV/atom. Its total magnetization is 0.9 Bohr magnetons per cell.

(b)
SrPIN2 | PBE | relaxed

Lattice parameters (Å, degrees): 4.819 4.819 6.769 90.00 90.00 90.00
Space group P4/mmm (No. 123)
Unique sites:
Sr  0.000  0.000  0.000
P  0.500  0.500  0.500
I  0.000  0.000  0.500
N  0.000  0.500  0.000

Output
The value obtained for the density of states at the Fermi level is 1.20 states/eV/atom. Its total magnetization is 4.5 Bohr magnetons per cell.

Most stable one: (a), least stable one: (b).